1.
Ho4Ir after structural relaxation. Source: the Alexandria database, functional PBE.

Calculated values
Energy above the lowest structure with this stoichiometry ... 158.0 meV/atom
Total moment ... 0.00 μB/atom
ΔH_f (0 K) ... -24.6 kJ per mole of atoms

Cell lengths 5.400, 5.400, 5.400 Å; angles 90.00, 90.00, 90.00 degrees
Space group Pm-3m (No. 221)
Symmetry-distinct sites (fractional):
Ho 0.000 0.000 0.000
Ho 0.000 0.500 0.500
Ir 0.500 0.500 0.500

=====

2.
Ho3Ir2 after structural relaxation. Source: the Alexandria database, functional PBE.

Calculated values
Energy above the lowest structure with this stoichiometry ... 0.0 meV/atom
Total moment ... 0.00 μB/atom
ΔH_f (0 K) ... -79.6 kJ per mole of atoms

Cell lengths 11.193, 11.193, 25.107 Å; angles 90.00, 90.00, 90.00 degrees
Space group I4/mcm (No. 140)
Symmetry-distinct sites (fractional):
Ho 0.000 0.500 0.113
Ho 0.000 0.500 0.250
Ho 0.074 0.205 0.072
Ho 0.079 0.211 0.306
Ho 0.150 0.350 0.500
Ir 0.000 0.000 0.000
Ir 0.000 0.000 0.133
Ir 0.000 0.000 0.250
Ir 0.097 0.403 0.000
Ir 0.154 0.346 0.188
Ir 0.180 0.320 0.394

=====

3.
Ho5Ir3 after structural relaxation. Source: the Alexandria database, functional PBE.

Calculated values
Energy above the lowest structure with this stoichiometry ... 38.8 meV/atom
Total moment ... 0.00 μB/atom
ΔH_f (0 K) ... -76.4 kJ per mole of atoms

Cell lengths 8.2967, 8.2967, 6.1900 Å; angles 90.00, 90.00, 120.00 degrees
Space group P6_3/mcm (No. 193)
Symmetry-distinct sites (fractional):
Ho 0.0000 0.2613 0.2500
Ho 0.3333 0.6667 0.0000
Ir 0.0000 0.3887 0.7500

=====

> Which value of energy above the lowest structure with this stoichiometry does entry 2 give?

0.0 meV/atom